# 1
# PmGa3CuAg | the Alexandria database | PBE-GGA | optimized geometry
data_PmGa3CuAg
_cell_length_a 5.890
_cell_length_b 12.470
_cell_length_c 6.477
_cell_angle_alpha 90.00
_cell_angle_beta 90.00
_cell_angle_gamma 90.00
_space_group_name_H-M_alt 'C m c m'
_space_group_IT_number 63
_space_group_name_Hall '-C 2c 2'
loop_
_atom_site_label
_atom_site_type_symbol
_atom_site_fract_x
_atom_site_fract_y
_atom_site_fract_z
_atom_site_occupancy
Pm1 Pm 0.000 0.201 0.250 1
Ga1 Ga 0.000 0.369 0.750 1
Ga2 Ga 0.221 0.000 0.000 1
Cu1 Cu 0.000 0.424 0.250 1
Ag1 Ag 0.000 0.155 0.750 1
# DFT formation energy ... -0.17 eV per atom
# Calculated total energy ... -0.267 Ry per atom

***

# 2
# TaFeOs2 | the Alexandria database | PBE-GGA | optimized geometry
data_TaFeOs2
_cell_length_a 2.914
_cell_length_b 4.463
_cell_length_c 9.015
_cell_angle_alpha 90.00
_cell_angle_beta 90.00
_cell_angle_gamma 90.00
_space_group_name_H-M_alt 'I m m m'
_space_group_IT_number 71
_space_group_name_Hall '-I 2 2'
loop_
_atom_site_label
_atom_site_type_symbol
_atom_site_fract_x
_atom_site_fract_y
_atom_site_fract_z
_atom_site_occupancy
Ta1 Ta 0.000 0.000 0.000 1
Fe1 Fe 0.000 0.000 0.500 1
Os1 Os 0.000 0.500 0.225 1
# DFT formation energy ... 0.10 eV per atom
# Calculated total energy ... -0.779 Ry per atom

***

# 3
# PmGa3Pt2 | the Alexandria database | PBE-GGA | optimized geometry
data_PmGa3Pt2
_cell_length_a 4.3179
_cell_length_b 4.3179
_cell_length_c 13.7509
_cell_angle_alpha 90.00
_cell_angle_beta 90.00
_cell_angle_gamma 120.00
_space_group_name_H-M_alt 'P 63/m m c'
_space_group_IT_number 194
_space_group_name_Hall '-P 6c 2c'
loop_
_atom_site_label
_atom_site_type_symbol
_atom_site_fract_x
_atom_site_fract_y
_atom_site_fract_z
_atom_site_occupancy
Pm1 Pm 0.0000 0.0000 0.2500 1
Ga1 Ga 0.0000 0.0000 0.0000 1
Ga2 Ga 0.3333 0.6667 0.1239 1
Pt1 Pt 0.3333 0.6667 0.5796 1
# Excess energy over the best structure of this formula in the dataset ... 0.88 kcal/mol of atoms
# DFT formation energy ... -0.81 eV per atom
# Calculated total energy ... -0.377 Ry per atom

***

# 4
# MgCl2 | the Alexandria database | PBE-GGA | optimized geometry
data_MgCl2
_cell_length_a 3.6744
_cell_length_b 3.6744
_cell_length_c 19.6195
_cell_angle_alpha 90.00
_cell_angle_beta 90.00
_cell_angle_gamma 120.00
_space_group_name_H-M_alt 'R -3 m'
_space_group_IT_number 166
_space_group_name_Hall '-R 3 2"'
loop_
_atom_site_label
_atom_site_type_symbol
_atom_site_fract_x
_atom_site_fract_y
_atom_site_fract_z
_atom_site_occupancy
Mg1 Mg 0.0000 0.0000 0.0000 1
Cl1 Cl 0.0000 0.0000 0.2635 1
# Calculated total energy ... -0.266 Ry per atom

***

# 5
# LaAgSn | the Alexandria database | PBE-GGA | optimized geometry
data_LaAgSn
_cell_length_a 4.739
_cell_length_b 6.480
_cell_length_c 6.516
_cell_angle_alpha 63.68
_cell_angle_beta 89.84
_cell_angle_gamma 68.57
_space_group_name_H-M_alt 'P -1'
_space_group_IT_number 2
loop_
_space_group_symop_operation_xyz
'x,y,z'
'-x,-y,-z'
loop_
_atom_site_label
_atom_site_type_symbol
_atom_site_fract_x
_atom_site_fract_y
_atom_site_fract_z
_atom_site_occupancy
La1 La 0.192 0.114 0.224 1
Ag1 Ag 0.120 0.265 0.687 1
Sn1 Sn 0.496 0.505 0.239 1
# DFT formation energy ... -0.44 eV per atom
# Calculated total energy ... -0.321 Ry per atom

***

# 6
# Ba2MgAu2O6 | the Alexandria database | PBE-GGA | optimized geometry
data_Ba2MgAu2O6
_cell_length_a 6.1011
_cell_length_b 6.1011
_cell_length_c 17.3680
_cell_angle_alpha 90.00
_cell_angle_beta 90.00
_cell_angle_gamma 120.00
_space_group_name_H-M_alt 'R -3 m'
_space_group_IT_number 166
_space_group_name_Hall '-R 3 2"'
loop_
_atom_site_label
_atom_site_type_symbol
_atom_site_fract_x
_atom_site_fract_y
_atom_site_fract_z
_atom_site_occupancy
Ba1 Ba 0.0000 0.0000 0.2161 1
Mg1 Mg 0.0000 0.0000 0.0000 1
Au1 Au 0.0000 0.0000 0.4123 1
O1 O 0.0486 0.5243 0.7510 1
# Calculated total energy ... -0.372 Ry per atom

***

# 7
# KCuNiI2 | the Alexandria database | PBE-GGA | optimized geometry
data_KCuNiI2
_cell_length_a 5.400
_cell_length_b 5.400
_cell_length_c 4.742
_cell_angle_alpha 90.00
_cell_angle_beta 90.00
_cell_angle_gamma 90.00
_space_group_name_H-M_alt 'P 4/m m m'
_space_group_IT_number 123
_space_group_name_Hall '-P 4 2'
loop_
_atom_site_label
_atom_site_type_symbol
_atom_site_fract_x
_atom_site_fract_y
_atom_site_fract_z
_atom_site_occupancy
K1 K 0.000 0.000 0.000 1
Cu1 Cu 0.500 0.500 0.000 1
Ni1 Ni 0.500 0.500 0.500 1
I1 I 0.000 0.500 0.500 1
# Excess energy over the best structure of this formula in the dataset ... 0.00 kcal/mol of atoms
# Calculated total energy ... -0.219 Ry per atom

***

# 8
# CsMnVI6 | the Alexandria database | PBE-GGA | optimized geometry
data_CsMnVI6
_cell_length_a 7.3729
_cell_length_b 7.3729
_cell_length_c 8.7958
_cell_angle_alpha 90.00
_cell_angle_beta 90.00
_cell_angle_gamma 120.00
_space_group_name_H-M_alt 'P 3 1 2'
_space_group_IT_number 149
loop_
_space_group_symop_operation_xyz
'x,y,z'
'-y,x-y,z'
'-x+y,-x,z'
'-y,-x,-z'
'-x+y,y,-z'
'x,x-y,-z'
loop_
_atom_site_label
_atom_site_type_symbol
_atom_site_fract_x
_atom_site_fract_y
_atom_site_fract_z
_atom_site_occupancy
Cs1 Cs 0.0000 0.0000 0.0000 1
Mn1 Mn 0.3333 0.6667 0.5000 1
V1 V 0.6667 0.3333 0.5000 1
I1 I 0.3738 0.0098 0.3176 1
# Calculated total energy ... -0.282 Ry per atom

***

# 9
# GaBi3 | the Alexandria database | PBE-GGA | optimized geometry
data_GaBi3
_cell_length_a 7.793
_cell_length_b 7.793
_cell_length_c 7.793
_cell_angle_alpha 90.00
_cell_angle_beta 90.00
_cell_angle_gamma 90.00
_space_group_name_H-M_alt 'F m -3 m'
_space_group_IT_number 225
_space_group_name_Hall '-F 4 2 3'
loop_
_atom_site_label
_atom_site_type_symbol
_atom_site_fract_x
_atom_site_fract_y
_atom_site_fract_z
_atom_site_occupancy
Ga1 Ga 0.000 0.000 0.000 1
Bi1 Bi 0.000 0.000 0.500 1
Bi2 Bi 0.250 0.250 0.250 1
# Excess energy over the best structure of this formula in the dataset ... 1.76 kcal/mol of atoms
# DFT formation energy ... 0.17 eV per atom
# Calculated total energy ... -0.257 Ry per atom

***

# 10
# Hf2Ge2Sb | the Alexandria database | PBE-GGA | optimized geometry
data_Hf2Ge2Sb
_cell_length_a 7.474
_cell_length_b 7.474
_cell_length_c 3.738
_cell_angle_alpha 90.00
_cell_angle_beta 90.00
_cell_angle_gamma 90.00
_space_group_name_H-M_alt 'P 4/m b m'
_space_group_IT_number 127
_space_group_name_Hall '-P 4 2ab'
loop_
_atom_site_label
_atom_site_type_symbol
_atom_site_fract_x
_atom_site_fract_y
_atom_site_fract_z
_atom_site_occupancy
Hf1 Hf 0.154 0.346 0.000 1
Ge1 Ge 0.143 0.643 0.500 1
Sb1 Sb 0.000 0.000 0.000 1
# Excess energy over the best structure of this formula in the dataset ... 0.00 kcal/mol of atoms
# Calculated total energy ... -0.513 Ry per atom

***

- What is the calculated total energy in the fourth record?
  -0.266 Ry per atom

***

- Look up the calculated total energy of the second one.
  -0.779 Ry per atom